No. 1
Below is a geometry-optimized K2BSbS4 structure, with properties calculated at the PBE level.

a b c (Å): 11.062 13.986 7.872
angles (deg): 90.00 126.14 90.00
Space group C2/c (No. 15)
Unique sites:
K1 0.000 0.000 0.000 (multiplicity 4)
K2 0.250 0.250 0.000 (multiplicity 4)
B1 0.250 0.250 0.500 (multiplicity 4)
Sb1 0.000 0.500 0.000 (multiplicity 4)
S1 0.111 0.244 0.528 (multiplicity 8)
S2 0.200 0.470 0.924 (multiplicity 8)

Its formation energy from raw total energies is -50 kJ per mole of atoms. The total energy is -4.2066 eV/atom. The crystal system is monoclinic. For the magnetic moment, the calculation gives 0.0 Bohr magnetons per cell. The density comes out at 2.29 Mg/m³.

No. 2
Below is a geometry-optimized SmScFe10 structure, with properties calculated at the PBE level.

a b c (Å): 3.957 4.947 8.548
angles (deg): 90.00 90.00 90.00
Space group Pmmm (No. 47)
Unique sites:
Sm1 0.000 0.000 0.000 (multiplicity 1)
Sc1 0.000 0.500 0.500 (multiplicity 1)
Fe1 0.000 0.000 0.341 (multiplicity 2)
Fe2 0.000 0.500 0.175 (multiplicity 2)
Fe3 0.500 0.000 0.500 (multiplicity 1)
Fe4 0.500 0.253 0.257 (multiplicity 4)
Fe5 0.500 0.500 0.000 (multiplicity 1)

The total energy is -7.9983 eV/atom. The crystal system is orthorhombic. As for the formation energy: -0.025 eV per atom. For the magnetic moment, the calculation gives 19.1 Bohr magnetons per cell. The density comes out at 7.48 Mg/m³.